# ZrMo5

A crystal of ZrMo5 relaxed with PBEsol (SCAN, the Alexandria database).

Lattice parameters (Å, degrees): 3.170 4.511 6.922 90.00 103.24 90.00
Fractional positions:
Zr1 0.000 0.500 0.000
Mo1 0.500 0.000 0.000
Mo2 0.673 0.500 0.346
Mo3 0.327 0.500 0.654
Mo4 0.167 0.000 0.335
Mo5 0.833 0.000 0.665

Results
E_form in eV/atom: -0.011
DFT total energy in eV per cell: -205.191
SG: Cmmm, No. 65